Tc2HgOs: relaxed, PBE-GGA.

Results
E_tot in eV per atom: -7.7132

```
Tc2HgOs
1.0
2.8098 0.0000 0.0000
0.0000 2.8098 0.0000
0.0000 0.0000 8.0768
Tc Hg Os
2 1 1
direct
0.0000 0.0000 0.2248
0.0000 0.0000 0.7752
0.5000 0.5000 0.5000
0.5000 0.5000 0.0000
```

---

Tc3HgOs: relaxed, PBE-GGA.

Results
Polymorph energy (0 for the lowest one) in eV per atom: 0.000
E_tot in eV per atom: -6.8752

```
Tc3HgOs
1.0
4.7220 0.0000 0.0000
0.0000 4.7220 0.0000
0.0000 0.0000 4.7220
Tc Hg Os
3 1 1
direct
0.0000 0.0000 0.5000
0.0000 0.5000 0.0000
0.5000 0.0000 0.0000
0.5000 0.5000 0.5000
0.0000 0.0000 0.0000
```

---

Tc2HgOs: relaxed, PBE-GGA.

Results
E_tot in eV per atom: -7.6560

```
Tc2HgOs
1.0
2.8112 0.0000 0.0000
0.0000 2.8112 0.0000
0.0000 0.0000 8.1110
Tc Hg Os
2 1 1
direct
0.0000 0.0000 0.0000
0.5000 0.5000 0.2360
0.0000 0.0000 0.5101
0.5000 0.5000 0.7878
```

---

Tc2HgOs: relaxed, PBE-GGA.

Results
E_tot in eV per atom: -7.4389

```
Tc2HgOs
1.0
-1.4130 2.3639 4.9081
1.4130 -2.3639 4.9081
1.4130 2.3639 -4.9081
Tc Hg Os
2 1 1
direct
0.0000 0.0000 0.0000
0.7765 0.2765 0.5000
0.2836 0.7836 0.5000
0.5580 0.5580 0.0000
```

---

Tc2HgOs: relaxed, PBE-GGA.

Results
E_tot in eV per atom: -7.6949

```
Tc2HgOs
1.0
1.4079 0.8128 9.3138
-1.4079 0.8128 9.3138
0.0000 -1.6257 9.3138
Tc Hg Os
2 1 1
direct
0.0000 0.0000 0.0000
0.2574 0.2574 0.2574
0.7569 0.7569 0.7569
0.5153 0.5153 0.5153
```

---

TcHgOs: relaxed, PBE-GGA.

Results
Polymorph energy (0 for the lowest one) in eV per atom: 0.320
E_tot in eV per atom: -6.6202

```
TcHgOs
1.0
0.0000 2.4129 7.3281
1.4375 0.0000 7.3281
1.4375 2.4129 0.0000
Tc Hg Os
1 1 1
direct
0.0000 0.0000 0.0000
0.3221 0.3221 0.6779
0.6427 0.6427 0.3573
```

---

Number 1: energy relative to the elements 353 meV per atom. Number 2: energy relative to the elements 1651 meV per atom. Number 3: energy relative to the elements 410 meV per atom. Number 4: energy relative to the elements 627 meV per atom. Number 5: energy relative to the elements 371 meV per atom. Number 6: energy relative to the elements 679 meV per atom.